Entry 1:
Compound: CuHgRh2
Source: Alexandria via LeMat-Bulk
Functional: PBE
Structure: relaxed

Formation enthalpy at 0 K: 0.9 eV/f.u.

Unit cell a=2.818 b=4.304 c=5.304 alpha=90.00 beta=104.61 gamma=90.00
Fractional coordinates of all 4 atoms:
Cu (0.000, 0.000, 0.000)
Hg (0.000, 0.000, 0.500)
Rh (0.373, 0.500, 0.225)
Rh (0.627, 0.500, 0.775)

Entry 2:
Compound: Sr2LiRh
Source: Alexandria via LeMat-Bulk
Functional: PBE
Structure: relaxed

Formation enthalpy at 0 K: -0.7 eV/f.u.

Unit cell a=7.990 b=7.990 c=7.990 alpha=31.90 beta=31.90 gamma=31.90
Fractional coordinates of all 4 atoms:
Sr (0.000, 0.000, 0.000)
Sr (0.171, 0.171, 0.171)
Li (0.419, 0.419, 0.419)
Rh (0.753, 0.753, 0.753)

Entry 3:
Compound: Y2HfReTe
Source: Alexandria via LeMat-Bulk
Functional: PBE
Structure: relaxed

Energy relative to the elements, uncorrected: 1.423 eV per atom

Unit cell a=5.538 b=5.538 c=5.262 alpha=90.00 beta=90.00 gamma=90.00
Fractional coordinates of all 5 atoms:
Y (0.000, 0.500, 0.000)
Y (0.500, 0.000, 0.000)
Hf (0.000, 0.000, 0.000)
Re (0.500, 0.500, 0.500)
Te (0.000, 0.000, 0.500)

Final energy per entry: -4.5605, -3.3326, -6.2714 eV/atom
DOS at the Fermi energy per entry: 5.1, 1.5, 6.3 states/eV/cell
Total moment per entry: 0.00, 0.00, 3.76 μB/cell